# Ir5C3 | Alexandria via LeMat-Bulk | PBE-GGA | optimized geometry
# Calculated density in g cm⁻³: 16.9
# Spin magnetization in Bohr magnetons per cell: 0.000
# Energy of formation in eV/f.u.: 9.36
data_Ir5C3
_chemical_formula_sum 'Ir10 C6'
_symmetry_space_group_name_H-M 'C m m m'
_symmetry_Int_Tables_number 65
_symmetry_space_group_name_Hall '-C 2 2'
_cell_length_a 7.5637
_cell_length_b 9.5475
_cell_length_c 2.7098
_cell_angle_alpha 90.00
_cell_angle_beta 90.00
_cell_angle_gamma 90.00
loop_
_atom_site_label
_atom_site_fract_x
_atom_site_fract_y
_atom_site_fract_z
_atom_site_occupancy
Ir1 0.0000 0.0000 0.0000 1
Ir2 0.1883 0.5000 0.5000 1
Ir3 0.2500 0.2500 0.0000 1
C1 0.0000 0.1887 0.5000 1
C2 0.0000 0.5000 0.0000 1

# Ir3C5 | Alexandria via LeMat-Bulk | PBE-GGA | optimized geometry
# Calculated density in g cm⁻³: 11.2
# Spin magnetization in Bohr magnetons per cell: 0.000
# Energy of formation in eV/f.u.: 14.73
data_Ir3C5
_chemical_formula_sum 'Ir6 C10'
_symmetry_space_group_name_H-M 'P 63/m c m'
_symmetry_Int_Tables_number 193
_symmetry_space_group_name_Hall '-P 6c 2'
_cell_length_a 5.6849
_cell_length_b 5.6849
_cell_length_c 6.7710
_cell_angle_alpha 90.00
_cell_angle_beta 90.00
_cell_angle_gamma 120.00
loop_
_atom_site_label
_atom_site_fract_x
_atom_site_fract_y
_atom_site_fract_z
_atom_site_occupancy
Ir1 0.0000 0.3754 0.2500 1
C1 0.0000 0.2622 0.7500 1
C2 0.3333 0.6667 0.0000 1

# IrC5 | Alexandria via LeMat-Bulk | PBE-GGA | optimized geometry
# Calculated density in g cm⁻³: 7.0
# Spin magnetization in Bohr magnetons per cell: 0.000
# Energy of formation in eV/f.u.: 4.55
data_IrC5
_chemical_formula_sum 'Ir2 C10'
_symmetry_space_group_name_H-M 'A m m 2'
_symmetry_Int_Tables_number 38
_symmetry_space_group_name_Hall 'A 2 -2'
_cell_length_a 2.5489
_cell_length_b 3.2875
_cell_length_c 14.2005
_cell_angle_alpha 90.00
_cell_angle_beta 90.00
_cell_angle_gamma 90.00
loop_
_atom_site_label
_atom_site_fract_x
_atom_site_fract_y
_atom_site_fract_z
_atom_site_occupancy
Ir1 0.0000 0.0000 0.0000 1
C1 0.0000 0.0000 0.2487 1
C2 0.0000 0.0000 0.3497 1
C3 0.5000 0.0000 0.1012 1
C4 0.5000 0.0000 0.1996 1
C5 0.5000 0.0000 0.4012 1

# Ir5C3 | Alexandria via LeMat-Bulk | PBE-GGA | optimized geometry
# Calculated density in g cm⁻³: 15.1
# Spin magnetization in Bohr magnetons per cell: 0.009
# Energy of formation in eV/f.u.: 6.40
data_Ir5C3
_chemical_formula_sum 'Ir10 C6'
_symmetry_space_group_name_H-M 'C m m m'
_symmetry_Int_Tables_number 65
_symmetry_space_group_name_Hall '-C 2 2'
_cell_length_a 6.9169
_cell_length_b 10.6460
_cell_length_c 2.9842
_cell_angle_alpha 90.00
_cell_angle_beta 90.00
_cell_angle_gamma 90.00
loop_
_atom_site_label
_atom_site_fract_x
_atom_site_fract_y
_atom_site_fract_z
_atom_site_occupancy
Ir1 0.0000 0.0000 0.0000 1
Ir2 0.2211 0.3751 0.5000 1
C1 0.0000 0.5000 0.5000 1
C2 0.2500 0.2500 0.0000 1

# Ir4C3 | Alexandria via LeMat-Bulk | PBE-GGA | optimized geometry
# Calculated density in g cm⁻³: 16.7
# Spin magnetization in Bohr magnetons per cell: 0.000
# Energy of formation in eV/f.u.: 7.87
data_Ir4C3
_chemical_formula_sum 'Ir4 C3'
_symmetry_space_group_name_H-M 'P m -3 m'
_symmetry_Int_Tables_number 221
_symmetry_space_group_name_Hall '-P 4 2 3'
_cell_length_a 4.3110
_cell_length_b 4.3110
_cell_length_c 4.3110
_cell_angle_alpha 90.00
_cell_angle_beta 90.00
_cell_angle_gamma 90.00
loop_
_atom_site_label
_atom_site_fract_x
_atom_site_fract_y
_atom_site_fract_z
_atom_site_occupancy
Ir1 0.0000 0.0000 0.0000 1
Ir2 0.0000 0.5000 0.5000 1
C1 0.0000 0.0000 0.5000 1

# Ir3C | Alexandria via LeMat-Bulk | PBE-GGA | optimized geometry
# Calculated density in g cm⁻³: 18.7
# Spin magnetization in Bohr magnetons per cell: 0.000
# Energy of formation in eV/f.u.: 2.46
data_Ir3C
_chemical_formula_sum 'Ir3 C1'
_symmetry_space_group_name_H-M 'P m m 2'
_symmetry_Int_Tables_number 25
_symmetry_space_group_name_Hall 'P 2 -2'
_cell_length_a 2.7363
_cell_length_b 2.7996
_cell_length_c 6.8193
_cell_angle_alpha 90.00
_cell_angle_beta 90.00
_cell_angle_gamma 90.00
loop_
_atom_site_label
_atom_site_fract_x
_atom_site_fract_y
_atom_site_fract_z
_atom_site_occupancy
Ir1 0.0000 0.0000 0.0000 1
Ir2 0.0000 0.5000 0.3701 1
Ir3 0.5000 0.5000 0.7174 1
C1 0.5000 0.0000 0.2344 1

# Ir4C3 | Alexandria via LeMat-Bulk | PBE-GGA | optimized geometry
# Calculated density in g cm⁻³: 14.5
# Spin magnetization in Bohr magnetons per cell: 0.000
# Energy of formation in eV/f.u.: 4.42
data_Ir4C3
_chemical_formula_sum 'Ir4 C3'
_symmetry_space_group_name_H-M 'P -4 3 m'
_symmetry_Int_Tables_number 215
_symmetry_space_group_name_Hall 'P -4 2 3'
_cell_length_a 4.5138
_cell_length_b 4.5138
_cell_length_c 4.5138
_cell_angle_alpha 90.00
_cell_angle_beta 90.00
_cell_angle_gamma 90.00
loop_
_atom_site_label
_atom_site_fract_x
_atom_site_fract_y
_atom_site_fract_z
_atom_site_occupancy
Ir1 0.2435 0.2435 0.7565 1
C1 0.0000 0.5000 0.5000 1

# IrC5 | Alexandria via LeMat-Bulk | PBE-GGA | optimized geometry
# Calculated density in g cm⁻³: 6.9
# Spin magnetization in Bohr magnetons per cell: 0.000
# Energy of formation in eV/f.u.: 17.37
data_IrC5
_chemical_formula_sum 'Ir1 C5'
_symmetry_space_group_name_H-M 'P -6 2 m'
_symmetry_Int_Tables_number 189
_symmetry_space_group_name_Hall 'P -6 -2'
_cell_length_a 3.7455
_cell_length_b 3.7455
_cell_length_c 4.9629
_cell_angle_alpha 90.00
_cell_angle_beta 90.00
_cell_angle_gamma 120.00
loop_
_atom_site_label
_atom_site_fract_x
_atom_site_fract_y
_atom_site_fract_z
_atom_site_occupancy
Ir1 0.0000 0.0000 0.0000 1
C1 0.0000 0.7778 0.5000 1
C2 0.3333 0.6667 0.0000 1

- Which formula does entry 5 have?
  Ir4C3